{"formula": "FeOsO", "functional": "PBE with a Hubbard U", "state": "relaxed", "cell": [[2.8439, 0.0000, 0.0000], [-1.4220, 2.4629, 0.0000], [0.0000, 0.0000, 15.6342]], "species": ["Fe", "Fe", "Fe", "Os", "Os", "Os", "O", "O", "O"], "frac_coords": [[0.0000, 0.0000, 0.0000], [0.3333, 0.6667, 0.6667], [0.6667, 0.3333, 0.3333], [0.0000, 0.0000, 0.4633], [0.3333, 0.6667, 0.1300], [0.6667, 0.3333, 0.7966], [0.0000, 0.0000, 0.5933], [0.3333, 0.6667, 0.2600], [0.6667, 0.3333, 0.9267]], "final_energy_ev_per_atom": -7.48, "de_polymorph_mev_per_atom": 110, "crystal_system": "trigonal"}